{
  "formula": "ScBeRuPt",
  "functional": "PBE",
  "state": "relaxed",
  "lattice_angstrom": [[-1.8155, 0.8089, -3.8421], [-4.2562, -0.5525, -0.5403], [-2.5818, 3.4358, -0.4918]],
  "species": ["Sc", "Ru", "Pt", "Be"],
  "frac_coords": [[0.5000, 0.5000, 0.5000], [0.7500, 0.7500, 0.7500], [0.2500, 0.2500, 0.2500], [0.0000, 0.0000, 0.0000]],
  "formation_energy_kcal_per_mol_atoms": -13.22,
  "e_tot_ev_per_atom": -6.917,
  "vol_a3_per_cell": 57.2,
  "magnetic_moment_mub_per_cell": 0.000
}